<one>
## Co7Ge (GGA-PBE)

Data for a geometry-optimized Co7Ge structure.

Geometry as CIF:
```
data_Co7Ge
_cell_length_a 2.532
_cell_length_b 2.532
_cell_length_c 39.458
_cell_angle_alpha 90.00
_cell_angle_beta 90.00
_cell_angle_gamma 90.00
_space_group_name_H-M_alt 'P 4/n m m'
_space_group_IT_number 129
loop_
_space_group_symop_operation_xyz
'x,y,z'
'-x,-y,-z'
'-y+1/2,x,z'
'y+1/2,-x,-z'
'-x+1/2,-y+1/2,z'
'x+1/2,y+1/2,-z'
'y,-x+1/2,z'
'-y,x+1/2,-z'
'x+1/2,-y,-z'
'-x+1/2,y,z'
'-y,-x,-z'
'y,x,z'
'-x,y+1/2,-z'
'x,-y+1/2,z'
'y+1/2,x+1/2,-z'
'-y+1/2,-x+1/2,z'
loop_
_atom_site_label
_atom_site_type_symbol
_atom_site_fract_x
_atom_site_fract_y
_atom_site_fract_z
Co1 Co 0.250 0.250 0.022
Co2 Co 0.250 0.250 0.108
Co3 Co 0.250 0.250 0.195
Co4 Co 0.250 0.250 0.282
Co5 Co 0.250 0.250 0.761
Co6 Co 0.250 0.250 0.848
Co7 Co 0.250 0.250 0.935
Ge1 Ge 0.250 0.250 0.669
```

Properties
Calculated volume   15.81 A^3/atom
Magnetization   11.2 μB per formula unit



<two>
## Co7Ge (GGA-PBE)

Data for a geometry-optimized Co7Ge structure.

Geometry as CIF:
```
data_Co7Ge
_cell_length_a 2.515
_cell_length_b 3.528
_cell_length_c 33.222
_cell_angle_alpha 90.00
_cell_angle_beta 90.00
_cell_angle_gamma 90.00
_space_group_name_H-M_alt 'P m m n'
_space_group_IT_number 59
loop_
_space_group_symop_operation_xyz
'x,y,z'
'-x,-y,-z'
'-x+1/2,-y+1/2,z'
'x+1/2,y+1/2,-z'
'x+1/2,-y,-z'
'-x+1/2,y,z'
'-x,y+1/2,-z'
'x,-y+1/2,z'
loop_
_atom_site_label
_atom_site_type_symbol
_atom_site_fract_x
_atom_site_fract_y
_atom_site_fract_z
Co1 Co 0.250 0.250 0.019
Co2 Co 0.250 0.250 0.093
Co3 Co 0.250 0.250 0.168
Co4 Co 0.250 0.250 0.242
Co5 Co 0.250 0.250 0.796
Co6 Co 0.250 0.250 0.869
Co7 Co 0.250 0.250 0.944
Ge1 Ge 0.250 0.250 0.719
```

Properties
Calculated volume   18.42 A^3/atom
Magnetization   10.8 μB per formula unit



Stability ranking, top entry: <two>; the second entry is 0.007 eV/atom less favorable.



<one>
## LiHfCoGe (GGA-PBE)

Data for a geometry-optimized LiHfCoGe structure.

Geometry as CIF:
```
data_LiHfCoGe
_cell_length_a 6.200
_cell_length_b 6.200
_cell_length_c 6.200
_cell_angle_alpha 90.00
_cell_angle_beta 90.00
_cell_angle_gamma 90.00
_space_group_name_H-M_alt 'F -4 3 m'
_space_group_IT_number 216
_space_group_name_Hall 'F -4 2 3'
loop_
_atom_site_label
_atom_site_type_symbol
_atom_site_fract_x
_atom_site_fract_y
_atom_site_fract_z
Li1 Li 0.000 0.000 0.000
Hf1 Hf 0.000 0.000 0.500
Co1 Co 0.250 0.250 0.250
Ge1 Ge 0.250 0.250 0.750
```

Properties
Calculated volume   14.90 A^3/atom
Magnetization   0.6 μB per formula unit



<two>
## LiHfCoGe (GGA-PBE)

Data for a geometry-optimized LiHfCoGe structure.

Geometry as CIF:
```
data_LiHfCoGe
_cell_length_a 6.104
_cell_length_b 6.104
_cell_length_c 6.104
_cell_angle_alpha 90.00
_cell_angle_beta 90.00
_cell_angle_gamma 90.00
_space_group_name_H-M_alt 'F -4 3 m'
_space_group_IT_number 216
_space_group_name_Hall 'F -4 2 3'
loop_
_atom_site_label
_atom_site_type_symbol
_atom_site_fract_x
_atom_site_fract_y
_atom_site_fract_z
Li1 Li 0.000 0.000 0.000
Hf1 Hf 0.250 0.250 0.250
Co1 Co 0.250 0.250 0.750
Ge1 Ge 0.000 0.000 0.500
```

Properties
Calculated volume   14.22 A^3/atom
Magnetization   0.0 μB per formula unit



Stability ranking, top entry: <one>; the second entry is 0.089 eV/atom less favorable.



<one>
## HfMgCoGe (GGA-PBE)

Data for a geometry-optimized HfMgCoGe structure.

Geometry as CIF:
```
data_HfMgCoGe
_cell_length_a 6.294
_cell_length_b 6.294
_cell_length_c 6.294
_cell_angle_alpha 90.00
_cell_angle_beta 90.00
_cell_angle_gamma 90.00
_space_group_name_H-M_alt 'F -4 3 m'
_space_group_IT_number 216
_space_group_name_Hall 'F -4 2 3'
loop_
_atom_site_label
_atom_site_type_symbol
_atom_site_fract_x
_atom_site_fract_y
_atom_site_fract_z
Hf1 Hf 0.000 0.000 0.000
Mg1 Mg 0.250 0.250 0.250
Co1 Co 0.250 0.250 0.750
Ge1 Ge 0.000 0.000 0.500
```

Properties
Calculated volume   15.58 A^3/atom
Magnetization   0.0 μB per formula unit



<two>
## HfMgCoGe (GGA-PBE)

Data for a geometry-optimized HfMgCoGe structure.

Geometry as CIF:
```
data_HfMgCoGe
_cell_length_a 6.359
_cell_length_b 6.359
_cell_length_c 6.359
_cell_angle_alpha 90.00
_cell_angle_beta 90.00
_cell_angle_gamma 90.00
_space_group_name_H-M_alt 'F -4 3 m'
_space_group_IT_number 216
_space_group_name_Hall 'F -4 2 3'
loop_
_atom_site_label
_atom_site_type_symbol
_atom_site_fract_x
_atom_site_fract_y
_atom_site_fract_z
Hf1 Hf 0.000 0.000 0.000
Mg1 Mg 0.250 0.250 0.750
Co1 Co 0.000 0.000 0.500
Ge1 Ge 0.250 0.250 0.250
```

Properties
Calculated volume   16.07 A^3/atom
Magnetization   0.9 μB per formula unit



Stability ranking, top entry: <one>; the second entry is 0.112 eV/atom less favorable.



<one>
## HfZnCoGe (GGA-PBE)

Data for a geometry-optimized HfZnCoGe structure.

Geometry as CIF:
```
data_HfZnCoGe
_cell_length_a 6.213
_cell_length_b 6.213
_cell_length_c 6.213
_cell_angle_alpha 90.00
_cell_angle_beta 90.00
_cell_angle_gamma 90.00
_space_group_name_H-M_alt 'F -4 3 m'
_space_group_IT_number 216
_space_group_name_Hall 'F -4 2 3'
loop_
_atom_site_label
_atom_site_type_symbol
_atom_site_fract_x
_atom_site_fract_y
_atom_site_fract_z
Hf1 Hf 0.000 0.000 0.000
Zn1 Zn 0.250 0.250 0.250
Co1 Co 0.250 0.250 0.750
Ge1 Ge 0.000 0.000 0.500
```

Properties
Calculated volume   14.99 A^3/atom
Magnetization   0.0 μB per formula unit



<two>
## HfZnCoGe (GGA-PBE)

Data for a geometry-optimized HfZnCoGe structure.

Geometry as CIF:
```
data_HfZnCoGe
_cell_length_a 6.246
_cell_length_b 6.246
_cell_length_c 6.246
_cell_angle_alpha 90.00
_cell_angle_beta 90.00
_cell_angle_gamma 90.00
_space_group_name_H-M_alt 'F -4 3 m'
_space_group_IT_number 216
_space_group_name_Hall 'F -4 2 3'
loop_
_atom_site_label
_atom_site_type_symbol
_atom_site_fract_x
_atom_site_fract_y
_atom_site_fract_z
Hf1 Hf 0.000 0.000 0.000
Zn1 Zn 0.250 0.250 0.750
Co1 Co 0.000 0.000 0.500
Ge1 Ge 0.250 0.250 0.250
```

Properties
Calculated volume   15.23 A^3/atom
Magnetization   0.9 μB per formula unit



Stability ranking, top entry: <one>; the second entry is 0.040 eV/atom less favorable.



<one>
## LuCoHgGe (GGA-PBE)

Data for a geometry-optimized LuCoHgGe structure.

Geometry as CIF:
```
data_LuCoHgGe
_cell_length_a 6.610
_cell_length_b 6.610
_cell_length_c 6.610
_cell_angle_alpha 90.00
_cell_angle_beta 90.00
_cell_angle_gamma 90.00
_space_group_name_H-M_alt 'F -4 3 m'
_space_group_IT_number 216
_space_group_name_Hall 'F -4 2 3'
loop_
_atom_site_label
_atom_site_type_symbol
_atom_site_fract_x
_atom_site_fract_y
_atom_site_fract_z
Lu1 Lu 0.000 0.000 0.000
Co1 Co 0.000 0.000 0.500
Hg1 Hg 0.250 0.250 0.750
Ge1 Ge 0.250 0.250 0.250
```

Properties
Calculated volume   18.05 A^3/atom
Magnetization   0.3 μB per formula unit



<two>
## LuCoHgGe (GGA-PBE)

Data for a geometry-optimized LuCoHgGe structure.

Geometry as CIF:
```
data_LuCoHgGe
_cell_length_a 6.688
_cell_length_b 6.688
_cell_length_c 6.688
_cell_angle_alpha 90.00
_cell_angle_beta 90.00
_cell_angle_gamma 90.00
_space_group_name_H-M_alt 'F -4 3 m'
_space_group_IT_number 216
_space_group_name_Hall 'F -4 2 3'
loop_
_atom_site_label
_atom_site_type_symbol
_atom_site_fract_x
_atom_site_fract_y
_atom_site_fract_z
Lu1 Lu 0.000 0.000 0.000
Co1 Co 0.250 0.250 0.750
Hg1 Hg 0.250 0.250 0.250
Ge1 Ge 0.000 0.000 0.500
```

Properties
Calculated volume   18.70 A^3/atom
Magnetization   0.9 μB per formula unit



Stability ranking, top entry: <one>; the second entry is 0.126 eV/atom less favorable.



<one>
## CoHgGeMo (GGA-PBE)

Data for a geometry-optimized CoHgGeMo structure.

Geometry as CIF:
```
data_CoHgGeMo
_cell_length_a 6.306
_cell_length_b 6.306
_cell_length_c 6.306
_cell_angle_alpha 90.00
_cell_angle_beta 90.00
_cell_angle_gamma 90.00
_space_group_name_H-M_alt 'F -4 3 m'
_space_group_IT_number 216
_space_group_name_Hall 'F -4 2 3'
loop_
_atom_site_label
_atom_site_type_symbol
_atom_site_fract_x
_atom_site_fract_y
_atom_site_fract_z
Co1 Co 0.000 0.000 0.000
Hg1 Hg 0.250 0.250 0.250
Ge1 Ge 0.250 0.250 0.750
Mo1 Mo 0.000 0.000 0.500
```

Properties
Calculated volume   15.68 A^3/atom
Magnetization   0.2 μB per formula unit



<two>
## CoHgGeMo (GGA-PBE)

Data for a geometry-optimized CoHgGeMo structure.

Geometry as CIF:
```
data_CoHgGeMo
_cell_length_a 6.397
_cell_length_b 6.397
_cell_length_c 6.397
_cell_angle_alpha 90.00
_cell_angle_beta 90.00
_cell_angle_gamma 90.00
_space_group_name_H-M_alt 'F -4 3 m'
_space_group_IT_number 216
_space_group_name_Hall 'F -4 2 3'
loop_
_atom_site_label
_atom_site_type_symbol
_atom_site_fract_x
_atom_site_fract_y
_atom_site_fract_z
Co1 Co 0.000 0.000 0.000
Hg1 Hg 0.000 0.000 0.500
Ge1 Ge 0.250 0.250 0.750
Mo1 Mo 0.250 0.250 0.250
```

Properties
Calculated volume   16.36 A^3/atom
Magnetization   1.4 μB per formula unit



Stability ranking, top entry: <one>; the second entry is 0.269 eV/atom less favorable.